# 1
{"formula": "Si3Ag3Sn2P6", "functional": "meta-GGA SCAN", "state": "single point on PBEsol structure", "space_group": "I-43m", "e_form_raw_ev_per_atom": -0.148, "lattice_angstrom": [[-5.1427, 5.1427, 5.1427], [5.1427, -5.1427, 5.1427], [5.1427, 5.1427, -5.1427]], "species": ["Si", "Si", "Si", "Si", "Si", "Si", "Ag", "Ag", "Ag", "Ag", "Ag", "Ag", "Sn", "Sn", "Sn", "Sn", "P", "P", "P", "P", "P", "P", "P", "P", "P", "P", "P", "P"], "fractional_positions": [[0.2500, 0.5000, 0.7500], [0.2500, 0.7500, 0.5000], [0.5000, 0.2500, 0.7500], [0.5000, 0.7500, 0.2500], [0.7500, 0.2500, 0.5000], [0.7500, 0.5000, 0.2500], [0.0000, 0.1975, 0.1975], [0.0000, 0.8025, 0.8025], [0.1975, 0.0000, 0.1975], [0.1975, 0.1975, 0.0000], [0.8025, 0.0000, 0.8025], [0.8025, 0.8025, 0.0000], [0.0000, 0.0000, 0.5939], [0.0000, 0.5939, 0.0000], [0.4061, 0.4061, 0.4061], [0.5939, 0.0000, 0.0000], [0.0000, 0.2443, 0.4943], [0.0000, 0.4943, 0.2443], [0.2443, 0.0000, 0.4943], [0.2443, 0.4943, 0.0000], [0.2500, 0.7557, 0.7557], [0.4943, 0.0000, 0.2443], [0.4943, 0.2443, 0.0000], [0.5057, 0.5057, 0.7500], [0.5057, 0.7500, 0.5057], [0.7500, 0.5057, 0.5057], [0.7557, 0.2500, 0.7557], [0.7557, 0.7557, 0.2500]]}

***

# 2
{"formula": "Si2AgPW", "functional": "meta-GGA SCAN", "state": "single point on PBEsol structure", "space_group": "P4/mmm", "e_form_raw_ev_per_atom": 2.005, "lattice_angstrom": [[4.6014, 0.0000, 0.0000], [0.0000, 4.6014, 0.0000], [0.0000, 0.0000, 4.6692]], "species": ["Si", "Si", "Ag", "P", "W"], "fractional_positions": [[0.0000, 0.5000, 0.0000], [0.5000, 0.0000, 0.0000], [0.0000, 0.0000, 0.0000], [0.0000, 0.0000, 0.5000], [0.5000, 0.5000, 0.5000]]}

***

# 3
{"formula": "Ag3SnP", "functional": "meta-GGA SCAN", "state": "single point on PBEsol structure", "delta_e_f_ev_per_atom": 1.133, "space_group": "Pm-3m", "lattice_angstrom": [[5.0432, 0.0000, 0.0000], [0.0000, 5.0432, 0.0000], [0.0000, 0.0000, 5.0432]], "species": ["Ag", "Ag", "Ag", "Sn", "P"], "fractional_positions": [[0.0000, 0.0000, 0.5000], [0.0000, 0.5000, 0.0000], [0.5000, 0.0000, 0.0000], [0.0000, 0.0000, 0.0000], [0.5000, 0.5000, 0.5000]]}